A plane-wave DFT calculation with PBE was carried out for Bi3Pt2 after structural relaxation.

Unit cell a=7.3257 b=7.0375 c=10.1672 alpha=90.00 beta=90.00 gamma=90.00
Closest atoms and distances in Å follow each position.
Element x y z (fractional)
Pt  0.7544  0.9573  0.3915  6 Bi 2.78-2.88
Bi  0.4550  0.7500  0.5000  4 Pt 2.80-2.86
Pt  0.7456  0.0427  0.8915  6 Bi 2.78-2.88
Bi  0.8920  0.9134  0.6551  4 Pt 2.78-2.88
Pt  0.7456  0.4573  0.1085  6 Bi 2.78-2.88
Bi  0.1080  0.0866  0.3449  4 Pt 2.78-2.88
Bi  0.3920  0.9134  0.8449  4 Pt 2.78-2.88
Pt  0.7544  0.5427  0.6085  6 Bi 2.78-2.88
Bi  0.0450  0.2500  0.0000  4 Pt 2.80-2.86
Bi  0.3920  0.5866  0.1551  4 Pt 2.78-2.88
Pt  0.2456  0.0427  0.6085  6 Bi 2.78-2.88
Bi  0.5450  0.2500  0.5000  4 Pt 2.80-2.86
Bi  0.8920  0.5866  0.3449  4 Pt 2.78-2.88
Pt  0.2456  0.4573  0.3915  6 Bi 2.78-2.88
Bi  0.6080  0.4134  0.8449  4 Pt 2.78-2.88
Bi  0.6080  0.0866  0.1551  4 Pt 2.78-2.88
Pt  0.2544  0.9573  0.1085  6 Bi 2.78-2.88
Bi  0.9550  0.7500  0.0000  4 Pt 2.80-2.86
Pt  0.2544  0.5427  0.8915  6 Bi 2.78-2.88
Bi  0.1080  0.4134  0.6551  4 Pt 2.78-2.88

Output
Energy relative to the lowest polymorph listed for this composition: 0.05 eV per formula unit
Total magnetic moment: 0.00 μB per formula unit
Volume: 524.17 Å³/cell
ΔH_f (0 K): -99 kJ/mol of formula units
DOS(E_F): 2.3 states/eV/f.u.

=====

A plane-wave DFT calculation with PBE was carried out for UIr2Ru after structural relaxation.

Unit cell a=4.5333 b=4.5333 c=4.6906 alpha=61.10 beta=61.10 gamma=60.00
Closest atoms and distances in Å follow each position.
Element x y z (fractional)
Ir  0.7721  0.7721  0.6838  4 Ru 2.66-2.89, 3 U 2.71
Ir  0.2279  0.2279  0.3162  4 Ru 2.66-2.89, 3 U 2.71
U  0.5000  0.5000  0.5000  6 Ir 2.71
Ru  0.0000  0.0000  0.0000  8 Ir 2.66-2.89

Output
Total magnetic moment: 0.00 μB per formula unit
Volume: 69.28 Å³/cell
ΔH_f (0 K): -13 kJ/mol of formula units
DOS(E_F): 4.7 states/eV/f.u.

=====

A plane-wave DFT calculation with PBE was carried out for Cd3Ge5S12 after structural relaxation.

Unit cell a=13.1454 b=13.1454 c=13.1454 alpha=109.47 beta=109.47 gamma=109.47
Closest atoms and distances in Å follow each position.
Element x y z (fractional)
Ge  0.2500  0.3750  0.6250  4 S 2.26
S  0.2141  0.6820  0.0860  1 Ge 2.26
S  0.0860  0.9041  0.3719  1 Ge 2.26
Ge  0.3750  0.2500  0.1250  4 S 2.26
S  0.3719  0.9678  0.7859  1 Ge 2.26
Cd  0.6250  0.2500  0.3750  8 S 2.86-2.96
Cd  0.1250  0.2500  0.8750  8 S 2.86-2.96
Cd  0.6250  0.3750  0.7500  8 S 2.86-2.96
Ge  0.5000  0.0000  0.5000  6 S 2.55
S  0.9678  0.5959  0.1820  1 Ge 2.26
S  0.9140  0.0959  0.6281  1 Ge 2.26
S  0.8180  0.9140  0.2859  1 Ge 2.26
Ge  0.5000  0.5000  0.5000  6 S 2.55
S  0.5322  0.2141  0.1281  1 Ge 2.26
Ge  0.1250  0.3750  0.2500  4 S 2.26
S  0.7141  0.5860  0.1820  1 Ge 2.26
S  0.4678  0.6820  0.0959  1 Ge 2.26
S  0.4041  0.3719  0.5860  1 Ge 2.26
Ge  0.2500  0.8750  0.1250  4 S 2.26
S  0.0959  0.9140  0.1281  1 Ge 2.26
S  0.7141  0.1281  0.0322  1 Ge 2.26
S  0.6820  0.4678  0.5959  1 Ge 2.26
S  0.3719  0.4041  0.0860  1 Ge 2.26
Cd  0.7500  0.3750  0.1250  8 S 2.86-2.96
Ge  0.0000  0.5000  0.0000  6 S 2.55
S  0.9041  0.8180  0.5322  1 Ge 2.26
Ge  0.0000  0.0000  0.5000  6 S 2.55
Ge  0.0000  0.0000  0.0000  6 S 2.55
Cd  0.2500  0.1250  0.3750  8 S 2.86-2.96
S  0.5959  0.6281  0.4140  1 Ge 2.26
Cd  0.7500  0.8750  0.6250  8 S 2.86-2.96
S  0.6281  0.5959  0.9140  1 Ge 2.26
S  0.8180  0.9041  0.0322  1 Ge 2.26
S  0.0322  0.6281  0.7141  1 Ge 2.26
Ge  0.6250  0.7500  0.8750  4 S 2.26
S  0.8719  0.2859  0.4678  1 Ge 2.26
Ge  0.7500  0.1250  0.8750  4 S 2.26
S  0.6281  0.0322  0.2141  1 Ge 2.26
Cd  0.3750  0.7500  0.6250  8 S 2.86-2.96
Ge  0.0000  0.5000  0.5000  6 S 2.55
S  0.4041  0.0322  0.3180  1 Ge 2.26
S  0.1820  0.0860  0.7141  1 Ge 2.26
Ge  0.7500  0.6250  0.3750  4 S 2.26
S  0.9678  0.3719  0.2859  1 Ge 2.26
S  0.4140  0.1281  0.5959  1 Ge 2.26
S  0.0322  0.4041  0.8180  1 Ge 2.26
Ge  0.6250  0.8750  0.2500  4 S 2.26
Cd  0.2500  0.6250  0.8750  8 S 2.86-2.96
Cd  0.1250  0.8750  0.7500  8 S 2.86-2.96
S  0.0860  0.1820  0.2141  1 Ge 2.26
S  0.1281  0.7141  0.5322  1 Ge 2.26
S  0.4678  0.7859  0.8719  1 Ge 2.26
S  0.3180  0.7859  0.4140  1 Ge 2.26
Ge  0.5000  0.0000  0.0000  6 S 2.55
S  0.5959  0.9678  0.6820  1 Ge 2.26
S  0.7859  0.3180  0.9140  1 Ge 2.26
S  0.2859  0.4140  0.8180  1 Ge 2.26
S  0.2141  0.5322  0.6281  1 Ge 2.26
Ge  0.3750  0.1250  0.7500  4 S 2.26
S  0.9140  0.8180  0.7859  1 Ge 2.26
S  0.3180  0.5322  0.4041  1 Ge 2.26
Cd  0.8750  0.7500  0.1250  8 S 2.86-2.96
Cd  0.3750  0.6250  0.2500  8 S 2.86-2.96
S  0.4140  0.2859  0.3180  1 Ge 2.26
S  0.5860  0.7141  0.6820  1 Ge 2.26
S  0.2859  0.8719  0.9678  1 Ge 2.26
S  0.9041  0.0860  0.8719  1 Ge 2.26
S  0.5322  0.3180  0.9041  1 Ge 2.26
S  0.1281  0.4140  0.0959  1 Ge 2.26
Ge  0.8750  0.2500  0.6250  4 S 2.26
Cd  0.8750  0.1250  0.2500  8 S 2.86-2.96
S  0.0959  0.1820  0.4678  1 Ge 2.26
S  0.1820  0.0959  0.9678  1 Ge 2.26
S  0.5860  0.8719  0.4041  1 Ge 2.26
Ge  0.1250  0.7500  0.3750  4 S 2.26
S  0.7859  0.4678  0.3719  1 Ge 2.26
S  0.8719  0.5860  0.9041  1 Ge 2.26
Ge  0.8750  0.6250  0.7500  4 S 2.26
Ge  0.5000  0.5000  0.0000  6 S 2.55
S  0.6820  0.2141  0.5860  1 Ge 2.26

Output
Total magnetic moment: 0.00 μB per formula unit
Volume: 1748.62 Å³/cell
Formation energy from raw total energies: -225 meV per atom
DOS(E_F): 6.4 states/eV/f.u.

=====

Question: DOS(E_F) of number 3 (Cd3Ge5S12)?
Answer: 6.4 states/eV/f.u.

=====

Question: Which of these has the lowest DOS(E_F)?
Answer: Bi3Pt2

=====

Question: Among the records above, which one has the lowest volume?
Answer: UIr2Ru